ScTlOsO2: optimized geometry, PBE.

The structure in CIF format:
```
data_ScTlOsO2
_cell_length_a 3.895
_cell_length_b 5.974
_cell_length_c 3.895
_cell_angle_alpha 90.00
_cell_angle_beta 90.00
_cell_angle_gamma 90.00
_space_group_name_H-M_alt 'P 1'
_space_group_IT_number 1
_space_group_name_Hall 'P 1'
loop_
_atom_site_label
_atom_site_type_symbol
_atom_site_fract_x
_atom_site_fract_y
_atom_site_fract_z
_atom_site_occupancy
O1 O 0.500 0.000 0.000 1
Sc1 Sc 0.500 0.500 0.500 1
Os1 Os 0.000 0.000 0.000 1
Tl1 Tl 0.000 0.500 0.000 1
O2 O 0.000 0.000 0.500 1
```

Computed properties:
**DFT total energy**: -31.0 eV per formula unit
**Theoretical density**: 8.6 g/cm³
**Energy relative to the lowest polymorph listed for this composition**: 0.000 eV/atom
**Energy relative to the elements, uncorrected**: -231 meV/atom

***

PaTlOsO6: optimized geometry, PBE.

The structure in CIF format:
```
data_PaTlOsO6
_cell_length_a 7.926
_cell_length_b 7.333
_cell_length_c 7.683
_cell_angle_alpha 118.51
_cell_angle_beta 121.05
_cell_angle_gamma 90.00
_space_group_name_H-M_alt 'P 1'
_space_group_IT_number 1
_space_group_name_Hall 'P 1'
loop_
_atom_site_label
_atom_site_type_symbol
_atom_site_fract_x
_atom_site_fract_y
_atom_site_fract_z
_atom_site_occupancy
Tl1 Tl 0.906 0.656 0.811 1
O1 O 0.448 0.660 0.244 1
Tl2 Tl 0.094 0.344 0.189 1
O2 O 0.204 0.340 0.756 1
O3 O 0.834 0.084 0.668 1
O4 O 0.448 0.084 0.244 1
O5 O 0.552 0.340 0.756 1
O6 O 0.534 0.284 0.067 1
Os1 Os 0.500 0.500 0.000 1
Pa1 Pa 0.500 0.000 0.500 1
O7 O 0.466 0.716 0.933 1
O8 O 0.552 0.916 0.756 1
O9 O 0.204 0.916 0.756 1
O10 O 0.796 0.084 0.244 1
O11 O 0.796 0.660 0.244 1
O12 O 0.166 0.916 0.332 1
Os2 Os 0.500 0.000 0.000 1
Pa2 Pa 0.000 0.000 0.500 1
```

Computed properties:
**DFT total energy**: -70.1 eV per formula unit
**Theoretical density**: 7.5 g/cm³
**Energy relative to the elements, uncorrected**: -1916 meV/atom

***

K2RbTlHg: optimized geometry, PBE.

The structure in CIF format:
```
data_K2RbTlHg
_cell_length_a 6.560
_cell_length_b 6.560
_cell_length_c 6.812
_cell_angle_alpha 90.00
_cell_angle_beta 90.00
_cell_angle_gamma 90.00
_space_group_name_H-M_alt 'P 1'
_space_group_IT_number 1
_space_group_name_Hall 'P 1'
loop_
_atom_site_label
_atom_site_type_symbol
_atom_site_fract_x
_atom_site_fract_y
_atom_site_fract_z
_atom_site_occupancy
K1 K 0.000 0.500 0.000 1
Rb1 Rb 0.000 0.000 0.500 1
Tl1 Tl 0.500 0.500 0.500 1
K2 K 0.500 0.000 0.000 1
Hg1 Hg 0.000 0.000 0.000 1
```

Computed properties:
**DFT total energy**: -5.5 eV per formula unit
**Theoretical density**: 3.2 g/cm³
**Energy relative to the lowest polymorph listed for this composition**: 0.116 eV/atom
**Formation enthalpy at 0 K**: 62.6 meV/atom